24
Lattice="5.024 0.000 0.000 0.000 6.144 0.000 -0.232 0.000 10.132" Properties=species:S:1:pos:R:3 comment="CrSnP2O8 PBE with a Hubbard U optimized geometry" volume_a3_per_cell=312.8 relative_energy_mev_per_atom=0 m_tot_mub_per_atom=0.33 spacegroup="P2_1/m, No. 11" pbc="T T T"
Cr 0.371 1.536 2.201
Cr 4.421 4.608 7.930
Sn 2.075 1.536 7.259
Sn 2.717 4.608 2.873
P 0.531 4.608 1.008
P 1.881 4.608 6.019
P 2.911 1.536 4.112
P 4.261 1.536 9.124
O 0.487 4.608 9.646
O 0.748 1.536 8.794
O 1.179 3.370 6.708
O 1.291 3.422 1.737
O 1.291 5.794 1.737
O 1.179 5.846 6.708
O 1.407 1.536 3.938
O 1.505 4.608 4.508
O 3.287 1.536 5.624
O 3.385 4.608 6.193
O 3.613 0.298 3.423
O 3.501 0.350 8.394
O 3.501 2.722 8.394
O 3.613 2.774 3.423
O 4.043 4.608 1.338
O 4.305 1.536 0.486